# CdPd3W

A geometry-optimized CdPd3W structure (PBE, Alexandria).

Distance to the lowest polymorph of the same formula in kJ/mol of atoms: 59.57
Final energy in eV per atom: -4.263
ΔE_f in kJ/mol of atoms: 156.88

a b c (Å): 4.842 4.842 4.842
angles (deg): 90.00 90.00 90.00
Sites, in units of the cell vectors:
W (0.500, 0.500, 0.500)
Cd (0.000, 0.000, 0.000)
Pd (0.500, 0.000, 0.000)
Pd (0.000, 0.500, 0.000)
Pd (0.000, 0.000, 0.500)

# Cd2PdW

A geometry-optimized Cd2PdW structure (PBE, Alexandria).

Distance to the lowest polymorph of the same formula in kJ/mol of atoms: 25.61
Final energy in eV per atom: -4.121
ΔE_f in kJ/mol of atoms: 84.19

a b c (Å): 7.517 7.517 5.988
angles (deg): 51.13 51.13 90.00
Sites, in units of the cell vectors:
Cd (0.875, 0.862, 0.750)
Cd (0.375, 0.388, 0.750)
W (0.000, 0.000, 0.000)
Cd (0.612, 0.125, 0.250)
W (0.750, 0.250, 0.500)
Cd (0.138, 0.625, 0.250)
Pd (0.250, 0.750, 0.500)
Pd (0.500, 0.500, 0.000)